Computed, not measured: LiFe5O6 after structural relaxation at the PBE with a Hubbard U level of DFT.

Unit cell a=5.2732 b=5.2591 c=5.3341 alpha=60.46 beta=81.10 gamma=71.71
Fractional coordinates of all 12 atoms:
Fe (0.5000, 0.5000, 0.0000)
O (0.7398, 0.0965, 0.3435)
Li (0.0000, 0.0000, 0.0000)
Fe (0.5000, 0.1625, 0.6751)
O (0.7398, 0.4400, 0.6565)
O (0.2602, 0.9035, 0.6565)
Fe (0.0000, 0.3361, 0.3279)
O (0.2603, 0.2260, 0.0000)
Fe (0.0000, 0.6639, 0.6721)
O (0.7397, 0.7740, 0.0000)
Fe (0.5000, 0.8375, 0.3249)
O (0.2602, 0.5600, 0.3435)

Computed properties:
The energy comes out at -6.44 eV per atom. As for the space-group type: C2/m, No. 12.